Computed, not measured: Er2Be3Pt4Au after structural relaxation at the PBE-GGA level of DFT.

The density of states at the Fermi level comes out at 2.4 states/eV per cell. For the size of the total moment, the calculation gives 0.00 μB per formula unit. Its formation energy from the elements is -0.847 eV/atom. The energy is -56.22 eV per cell.

CIF file:
```
data_Er2Be3Pt4Au
_chemical_formula_sum 'Er2 Be3 Pt4 Au1'
_symmetry_space_group_name_H-M 'P -4 m 2'
_symmetry_Int_Tables_number 115
_cell_length_a 3.948
_cell_length_b 3.948
_cell_length_c 10.542
_cell_angle_alpha 90.00
_cell_angle_beta 90.00
_cell_angle_gamma 90.00
loop_
_symmetry_equiv_pos_as_xyz
'x,y,z'
'y,-x,-z'
'-x,-y,z'
'-y,x,-z'
'-x,y,z'
'-y,-x,-z'
'x,-y,z'
'y,x,-z'
loop_
_atom_site_label
_atom_site_type_symbol
_atom_site_fract_x
_atom_site_fract_y
_atom_site_fract_z
_atom_site_occupancy
Er1 Er 0.000 0.500 0.237 1
Be1 Be 0.000 0.500 0.887 1
Be2 Be 0.500 0.500 0.500 1
Pt1 Pt 0.000 0.000 0.000 1
Pt2 Pt 0.000 0.500 0.674 1
Pt3 Pt 0.500 0.500 0.000 1
Au1 Au 0.000 0.000 0.500 1
```

=====

Computed, not measured: ScBe2Ag after structural relaxation at the PBE-GGA level of DFT.

The density of states at the Fermi level comes out at 2.8 states/eV per cell. For the size of the total moment, the calculation gives 0.00 μB per formula unit. For the polymorph energy (0 for the lowest one), the calculation gives 120 meV/atom. Its formation energy from the elements is 0.113 eV/atom. The energy is -32.36 eV per cell.

CIF file:
```
data_ScBe2Ag
_chemical_formula_sum 'Sc2 Be4 Ag2'
_symmetry_space_group_name_H-M 'I m m 2'
_symmetry_Int_Tables_number 44
_cell_length_a 3.329
_cell_length_b 4.348
_cell_length_c 8.032
_cell_angle_alpha 90.00
_cell_angle_beta 90.00
_cell_angle_gamma 90.00
loop_
_symmetry_equiv_pos_as_xyz
'x,y,z'
'-x,-y,z'
'-x,y,z'
'x,-y,z'
'x+1/2,y+1/2,z+1/2'
'-x+1/2,-y+1/2,z+1/2'
'-x+1/2,y+1/2,z+1/2'
'x+1/2,-y+1/2,z+1/2'
loop_
_atom_site_label
_atom_site_type_symbol
_atom_site_fract_x
_atom_site_fract_y
_atom_site_fract_z
_atom_site_occupancy
Sc1 Sc 0.000 0.000 0.000 1
Be1 Be 0.000 0.000 0.548 1
Be2 Be 0.000 0.500 0.227 1
Ag1 Ag 0.000 0.500 0.778 1
```

=====

Computed, not measured: Ba6N2O after structural relaxation at the PBE-GGA level of DFT.

The density of states at the Fermi level comes out at 7.5 states/eV per cell. For the size of the total moment, the calculation gives 1.49 μB per formula unit. For the polymorph energy (0 for the lowest one), the calculation gives 82 meV/atom. The uncorrected formation energy is -0.70 eV/atom. The energy is -78.87 eV per cell.

CIF file:
```
data_Ba6N2O
_chemical_formula_sum 'Ba12 N4 O2'
_symmetry_space_group_name_H-M 'P 1 21/c 1'
_symmetry_Int_Tables_number 14
_cell_length_a 6.997
_cell_length_b 6.961
_cell_length_c 13.896
_cell_angle_alpha 90.00
_cell_angle_beta 120.03
_cell_angle_gamma 90.00
loop_
_symmetry_equiv_pos_as_xyz
'x,y,z'
'-x,-y,-z'
'-x,y+1/2,-z+1/2'
'x,-y+1/2,z+1/2'
loop_
_atom_site_label
_atom_site_type_symbol
_atom_site_fract_x
_atom_site_fract_y
_atom_site_fract_z
_atom_site_occupancy
Ba1 Ba 0.002 0.243 0.169 1
Ba2 Ba 0.330 0.199 0.000 1
Ba3 Ba 0.335 0.747 0.669 1
N1 N 0.329 0.001 0.828 1
O1 O 0.000 0.000 0.000 1
```